Record 1
# LaTa2AlW (PBE-GGA, optimized geometry)
data_LaTa2AlW
_chemical_formula_sum 'La1 Ta2 Al1 W1'
_symmetry_space_group_name_H-M 'P 4/m m m'
_symmetry_Int_Tables_number 123
_symmetry_space_group_name_Hall '-P 4 2'
_cell_length_a 4.878
_cell_length_b 4.878
_cell_length_c 4.934
_cell_angle_alpha 90.00
_cell_angle_beta 90.00
_cell_angle_gamma 90.00
loop_
_atom_site_label
_atom_site_fract_x
_atom_site_fract_y
_atom_site_fract_z
La1 0.000 0.000 0.000
Ta1 0.000 0.500 0.000
Al1 0.000 0.000 0.500
W1 0.500 0.500 0.500
# total magnetic moment = 0.00 Bohr magnetons per cell
# DFT formation energy = 2.71 eV per atom

Record 2
# ScTlCd (PBE-GGA, optimized geometry)
data_ScTlCd
_chemical_formula_sum 'Sc4 Tl4 Cd4'
_symmetry_space_group_name_H-M 'C m m m'
_symmetry_Int_Tables_number 65
_symmetry_space_group_name_Hall '-C 2 2'
_cell_length_a 4.380
_cell_length_b 14.337
_cell_length_c 4.411
_cell_angle_alpha 90.00
_cell_angle_beta 90.00
_cell_angle_gamma 90.00
loop_
_atom_site_label
_atom_site_fract_x
_atom_site_fract_y
_atom_site_fract_z
Sc1 0.000 0.161 0.000
Tl1 0.000 0.332 0.500
Cd1 0.000 0.000 0.500
Cd2 0.000 0.500 0.000
# total magnetic moment = 0.00 Bohr magnetons per cell
# DFT formation energy = -0.20 eV per atom

Record 3
# CaAcIn4 (PBE-GGA, optimized geometry)
data_CaAcIn4
_chemical_formula_sum 'Ca4 Ac4 In16'
_symmetry_space_group_name_H-M 'F -4 3 m'
_symmetry_Int_Tables_number 216
_symmetry_space_group_name_Hall 'F -4 2 3'
_cell_length_a 8.829
_cell_length_b 8.829
_cell_length_c 8.829
_cell_angle_alpha 90.00
_cell_angle_beta 90.00
_cell_angle_gamma 90.00
loop_
_atom_site_label
_atom_site_fract_x
_atom_site_fract_y
_atom_site_fract_z
Ca1 0.000 0.000 0.000
Ac1 0.250 0.250 0.250
In1 0.125 0.125 0.625
# total magnetic moment = 0.00 Bohr magnetons per cell
# DFT formation energy = -0.37 eV per atom
# relative energy among the computed polymorphs = 0.061 eV per atom

Record 4
# Mg2CoRh (PBE-GGA, optimized geometry)
data_Mg2CoRh
_chemical_formula_sum 'Mg2 Co1 Rh1'
_symmetry_space_group_name_H-M 'P m m 2'
_symmetry_Int_Tables_number 25
_cell_length_a 3.075
_cell_length_b 4.380
_cell_length_c 4.382
_cell_angle_alpha 90.00
_cell_angle_beta 90.00
_cell_angle_gamma 90.00
loop_
_symmetry_equiv_pos_as_xyz
'x,y,z'
'-x,-y,z'
'-x,y,z'
'x,-y,z'
loop_
_atom_site_label
_atom_site_fract_x
_atom_site_fract_y
_atom_site_fract_z
Mg1 0.000 0.000 0.000
Mg2 0.000 0.500 0.499
Co1 0.500 0.500 0.998
Rh1 0.500 0.000 0.500
# total magnetic moment = 1.08 Bohr magnetons per cell
# DFT formation energy = -0.13 eV per atom

Record 5
# LaCd2Ni (PBE-GGA, optimized geometry)
data_LaCd2Ni
_chemical_formula_sum 'La1 Cd2 Ni1'
_symmetry_space_group_name_H-M 'P 1 2/m 1'
_symmetry_Int_Tables_number 10
_cell_length_a 4.838
_cell_length_b 4.549
_cell_length_c 4.868
_cell_angle_alpha 90.00
_cell_angle_beta 115.07
_cell_angle_gamma 90.00
loop_
_symmetry_equiv_pos_as_xyz
'x,y,z'
'-x,-y,-z'
'-x,y,-z'
'x,-y,z'
loop_
_atom_site_label
_atom_site_fract_x
_atom_site_fract_y
_atom_site_fract_z
La1 0.000 0.000 0.000
Cd1 0.327 0.500 0.675
Ni1 0.500 0.000 0.500
# total magnetic moment = 0.00 Bohr magnetons per cell
# DFT formation energy = -0.20 eV per atom

Record 6
# PmYHo14 (PBE-GGA, optimized geometry)
data_PmYHo14
_chemical_formula_sum 'Pm2 Y2 Ho28'
_symmetry_space_group_name_H-M 'A m m 2'
_symmetry_Int_Tables_number 38
_cell_length_a 11.425
_cell_length_b 7.105
_cell_length_c 12.305
_cell_angle_alpha 90.00
_cell_angle_beta 90.00
_cell_angle_gamma 90.00
loop_
_symmetry_equiv_pos_as_xyz
'x,y,z'
'-x,-y,z'
'-x,y,z'
'x,-y,z'
'x,y+1/2,z+1/2'
'-x,-y+1/2,z+1/2'
'-x,y+1/2,z+1/2'
'x,-y+1/2,z+1/2'
loop_
_atom_site_label
_atom_site_fract_x
_atom_site_fract_y
_atom_site_fract_z
Pm1 0.000 0.000 0.000
Y1 0.000 0.000 0.500
Ho1 0.000 0.250 0.250
Ho2 0.251 0.000 0.167
Ho3 0.251 0.000 0.667
Ho4 0.252 0.250 0.417
Ho5 0.500 0.000 0.334
Ho6 0.500 0.000 0.834
Ho7 0.500 0.250 0.084
# total magnetic moment = 0.00 Bohr magnetons per cell
# DFT formation energy = 0.01 eV per atom

Record 7
# RbAuSe (PBE-GGA, optimized geometry)
data_RbAuSe
_chemical_formula_sum 'Rb4 Au4 Se4'
_symmetry_space_group_name_H-M 'C m c m'
_symmetry_Int_Tables_number 63
_symmetry_space_group_name_Hall '-C 2c 2'
_cell_length_a 6.924
_cell_length_b 8.421
_cell_length_c 7.228
_cell_angle_alpha 90.00
_cell_angle_beta 90.00
_cell_angle_gamma 90.00
loop_
_atom_site_label
_atom_site_fract_x
_atom_site_fract_y
_atom_site_fract_z
Rb1 0.000 0.135 0.250
Au1 0.000 0.500 0.000
Se1 0.000 0.302 0.750
# total magnetic moment = 0.00 Bohr magnetons per cell
# ΔE_f (raw) = -754 meV per atom

Record 8
# TlRe2Au (PBE-GGA, optimized geometry)
data_TlRe2Au
_chemical_formula_sum 'Tl1 Re2 Au1'
_symmetry_space_group_name_H-M 'P 4 m m'
_symmetry_Int_Tables_number 99
_cell_length_a 2.986
_cell_length_b 2.986
_cell_length_c 8.241
_cell_angle_alpha 90.00
_cell_angle_beta 90.00
_cell_angle_gamma 90.00
loop_
_symmetry_equiv_pos_as_xyz
'x,y,z'
'-y,x,z'
'-x,-y,z'
'y,-x,z'
'-x,y,z'
'y,x,z'
'x,-y,z'
'-y,-x,z'
loop_
_atom_site_label
_atom_site_fract_x
_atom_site_fract_y
_atom_site_fract_z
Tl1 0.000 0.000 0.000
Re1 0.000 0.000 0.544
Re2 0.500 0.500 0.722
Au1 0.500 0.500 0.290
# total magnetic moment = 0.00 Bohr magnetons per cell
# DFT formation energy = 0.41 eV per atom
# relative energy among the computed polymorphs = 0.010 eV per atom

Number 1: calculated total energy -6.35 eV per atom. Number 2: calculated total energy -3.40 eV per atom. Number 3: calculated total energy -3.21 eV per atom. Number 4: calculated total energy -4.54 eV per atom. Number 5: calculated total energy -3.34 eV per atom. Number 6: calculated total energy -4.70 eV per atom. Number 7: calculated total energy -3.33 eV per atom. Number 8: calculated total energy -7.22 eV per atom.